VASP calculation (PBE) on a geometry-optimized LiTiNbW structure.

Cell lengths 4.5070, 4.5070, 4.5070 Å; angles 60.00, 60.00, 60.00 degrees
Element x y z (fractional)
Li: 0.0000 0.0000 0.0000
Ti: 0.2500 0.2500 0.2500
Nb: 0.7500 0.7500 0.7500
W: 0.5000 0.5000 0.5000

Summary:
Crystal system: cubic
Final energy: -8.032 eV/atom
V: 16.2 Å³ per atom
Formation energy: 0.176 eV/atom
N(E_F): 3.9 states/eV per cell